This record from the Alexandria database describes a relaxed BeAsRh crystal. The functional is GGA-PBE.

Results
For the volume, the calculation gives 13.78 A^3/atom. As for the total energy: -5.31 eV per atom. The space group is P-6m2. The value obtained for the excess energy over the best structure of this formula in the dataset is 0.50 eV/f.u. The size of the total moment is 0.000 μB/atom. The formation energy comes out at -0.070 eV per atom. For the mass density, the calculation gives 7.5 g/cm³.

Cell lengths 3.9236, 3.9236, 3.1012 Å; angles 90.00, 90.00, 120.00 degrees
With the nearest neighbours (Å) after each atom.
Atoms (fractional coordinates):
1 As 0.0000 0.0000 0.9999  6 Be 2.74-2.75, 6 Rh 2.75
2 Rh 0.3333 0.6667 0.4998  3 Be 2.27
3 Be 0.6667 0.3333 0.5002  3 Rh 2.27